No. 1
Density functional theory data (PBEsol) for a geometry-optimized Sc2RuRh structure. Values from VASP.

Geometry as Quantum ESPRESSO input:
```
&SYSTEM
  ibrav = 0, nat = 4, ntyp = 3
/
ATOMIC_SPECIES
Sc 44.96 Sc.upf
Ru 101.07 Ru.upf
Rh 102.91 Rh.upf
CELL_PARAMETERS angstrom
1.5420 0.8903 8.0024
-1.5420 0.8903 8.0024
0.0000 -1.7805 8.0024
ATOMIC_POSITIONS crystal
Sc 0.2492 0.2492 0.2492
Sc 0.7508 0.7508 0.7508
Ru 0.5000 0.5000 0.5000
Rh 0.0000 0.0000 0.0000
```

Computed properties:
ρ   7.404 g cm⁻³
Energy of formation   -0.38 eV per atom
Volume   16.478 A^3/atom

=====

No. 2
Density functional theory data (PBEsol) for a geometry-optimized Sc2RuRh structure. Values from VASP.

Geometry as Quantum ESPRESSO input:
```
&SYSTEM
  ibrav = 0, nat = 4, ntyp = 3
/
ATOMIC_SPECIES
Sc 44.96 Sc.upf
Ru 101.07 Ru.upf
Rh 102.91 Rh.upf
CELL_PARAMETERS angstrom
0.0000 3.1694 3.1694
3.1694 0.0000 3.1694
3.1694 3.1694 0.0000
ATOMIC_POSITIONS crystal
Sc 0.2500 0.2500 0.2500
Sc 0.7500 0.7500 0.7500
Ru 0.0000 0.0000 0.0000
Rh 0.5000 0.5000 0.5000
```

Computed properties:
ρ   7.664 g cm⁻³
Energy of formation   -0.77 eV per atom
Volume   15.918 A^3/atom

=====

No. 3
Density functional theory data (PBEsol) for a geometry-optimized Ru2RhSe structure. Values from VASP.

Geometry as Quantum ESPRESSO input:
```
&SYSTEM
  ibrav = 0, nat = 4, ntyp = 3
/
ATOMIC_SPECIES
Ru 101.07 Ru.upf
Rh 102.91 Rh.upf
Se 78.96 Se.upf
CELL_PARAMETERS angstrom
3.8940 0.0000 0.0000
0.0000 1.4074 5.1248
0.0000 -1.4074 5.1248
ATOMIC_POSITIONS crystal
Ru 0.0000 0.0000 0.0000
Ru 0.5000 0.3852 0.3852
Rh 0.0000 0.7474 0.7474
Se 0.5000 0.1476 0.1476
```

Computed properties:
ΔE_f (raw)   0.18 eV per atom
ρ   11.352 g cm⁻³
Volume   14.043 A^3/atom

=====

No. 4
Density functional theory data (PBEsol) for a geometry-optimized Ru2RhSe structure. Values from VASP.

Geometry as Quantum ESPRESSO input:
```
&SYSTEM
  ibrav = 0, nat = 4, ntyp = 3
/
ATOMIC_SPECIES
Ru 101.07 Ru.upf
Rh 102.91 Rh.upf
Se 78.96 Se.upf
CELL_PARAMETERS angstrom
1.3955 0.8057 8.2995
-1.3955 0.8057 8.2995
0.0000 -1.6114 8.2995
ATOMIC_POSITIONS crystal
Ru 0.0000 0.0000 0.0000
Ru 0.2498 0.2498 0.2498
Rh 0.7533 0.7533 0.7533
Se 0.5032 0.5032 0.5032
```

Computed properties:
ΔE_f (raw)   0.20 eV per atom
ρ   11.388 g cm⁻³
Volume   13.998 A^3/atom

=====

No. 5
Density functional theory data (PBEsol) for a geometry-optimized RuRhSe2 structure. Values from VASP.

Geometry as Quantum ESPRESSO input:
```
&SYSTEM
  ibrav = 0, nat = 4, ntyp = 3
/
ATOMIC_SPECIES
Ru 101.07 Ru.upf
Rh 102.91 Rh.upf
Se 78.96 Se.upf
CELL_PARAMETERS angstrom
1.5200 0.8776 7.6056
-1.5200 0.8776 7.6056
0.0000 -1.7552 7.6056
ATOMIC_POSITIONS crystal
Ru 0.0000 0.0000 0.0000
Rh 0.5000 0.5000 0.5000
Se 0.2514 0.2514 0.2514
Se 0.7486 0.7486 0.7486
```

Computed properties:
ΔE_f (raw)   0.05 eV per atom
ρ   9.872 g cm⁻³
Volume   15.219 A^3/atom

=====

No. 6
Density functional theory data (PBEsol) for a geometry-optimized RuRh2Se structure. Values from VASP.

Geometry as Quantum ESPRESSO input:
```
&SYSTEM
  ibrav = 0, nat = 4, ntyp = 3
/
ATOMIC_SPECIES
Ru 101.07 Ru.upf
Rh 102.91 Rh.upf
Se 78.96 Se.upf
CELL_PARAMETERS angstrom
2.6542 -3.7741 0.0000
2.6542 3.7741 0.0000
0.0000 0.0000 2.8107
ATOMIC_POSITIONS crystal
Ru 0.0000 0.0000 0.0000
Rh 0.0000 0.5000 0.5000
Rh 0.5000 0.0000 0.5000
Se 0.5000 0.5000 0.0000
```

Computed properties:
ΔE_f (raw)   0.20 eV per atom
ρ   11.378 g cm⁻³
Volume   14.078 A^3/atom